Entry 1:
SrAg2Ru | PBE-GGA | relaxed

It has space group P4/mmm (No. 123), with a = 3.5432 Å, b = 3.5432 Å, c = 6.8742 Å, α = 90.00°, β = 90.00° and γ = 90.00°. The distinct sites, in fractional coordinates, are Sr at (0.0000, 0.0000, 0.0000), Ag at (0.5000, 0.5000, 0.3017) and Ru at (0.0000, 0.0000, 0.5000).

The polymorph energy (0 for the lowest one) is 25 meV/atom. The calculation puts the formation energy from the elements at 0.425 eV/atom. The spin magnetization is 0.97 μB/cell.



Entry 2:
SrAg4Ru | PBE-GGA | relaxed

It has space group F-43m (No. 216), with a = 7.8730 Å, b = 7.8730 Å, c = 7.8730 Å, α = 90.00°, β = 90.00° and γ = 90.00°. The distinct sites, in fractional coordinates, are Sr at (0.0000, 0.0000, 0.0000), Ag at (0.1243, 0.1243, 0.6243) and Ru at (0.2500, 0.2500, 0.2500).

The calculation puts the formation energy from the elements at 0.291 eV/atom. The spin magnetization is 0.23 μB/cell.



Entry 3:
SrAg2Ru | PBE-GGA | relaxed

It has space group C2/m (No. 12), with a = 5.8616 Å, b = 10.0733 Å, c = 3.0014 Å, α = 90.00°, β = 112.41° and γ = 90.00°. The distinct sites, in fractional coordinates, are Sr at (0.0000, 0.0000, 0.0000), Ag at (0.2500, 0.2500, 0.5000) and Ru at (0.0000, 0.5000, 0.0000).

The polymorph energy (0 for the lowest one) is 97 meV/atom. The calculation puts the formation energy from the elements at 0.497 eV/atom. The spin magnetization is 2.08 μB/cell.



Entry 4:
SrAg2Ru | PBE-GGA | relaxed

It has space group Cm (No. 8), with a = 10.1177 Å, b = 4.0348 Å, c = 4.5720 Å, α = 90.00°, β = 116.71° and γ = 90.00°. The distinct sites, in fractional coordinates, are Sr at (0.0000, 0.0000, 0.0000), Ag at (0.0164, 0.5000, 0.5167), Ag at (0.2629, 0.5000, 0.2628) and Ru at (0.2450, 0.0000, 0.7426).

The polymorph energy (0 for the lowest one) is 30 meV/atom. The calculation puts the formation energy from the elements at 0.430 eV/atom. The spin magnetization is 0.74 μB/cell.



Entry 5:
SrAg2Ru | PBE-GGA | relaxed

It has space group F-43m (No. 216), with a = 6.9307 Å, b = 6.9307 Å, c = 6.9307 Å, α = 90.00°, β = 90.00° and γ = 90.00°. The distinct sites, in fractional coordinates, are Sr at (0.0000, 0.0000, 0.0000), Ag at (0.0000, 0.0000, 0.5000), Ag at (0.2500, 0.2500, 0.2500) and Ru at (0.2500, 0.2500, 0.7500).

The polymorph energy (0 for the lowest one) is 99 meV/atom. The calculation puts the formation energy from the elements at 0.499 eV/atom. The spin magnetization is 2.90 μB/cell.



Entry 6:
Sr2AgRu | PBE-GGA | relaxed

It has space group I-42d (No. 122), with a = 8.2570 Å, b = 8.2570 Å, c = 6.4719 Å, α = 90.00°, β = 90.00° and γ = 90.00°. The distinct sites, in fractional coordinates, are Sr at (0.2221, 0.2500, 0.1250), Ag at (0.0000, 0.0000, 0.5000) and Ru at (0.0000, 0.0000, 0.0000).

The calculation puts the formation energy from the elements at 0.521 eV/atom. The spin magnetization is 0.76 μB/cell.



Entry 7:
SrAgRu3 | PBE-GGA | relaxed

It has space group Pm-3m (No. 221), with a = 4.8897 Å, b = 4.8897 Å, c = 4.8897 Å, α = 90.00°, β = 90.00° and γ = 90.00°. The distinct sites, in fractional coordinates, are Sr at (0.0000, 0.0000, 0.0000), Ag at (0.5000, 0.5000, 0.5000) and Ru at (0.0000, 0.0000, 0.5000).

The polymorph energy (0 for the lowest one) is 870 meV/atom. The calculation puts the formation energy from the elements at 2.544 eV/atom. The spin magnetization is 4.73 μB/cell.



Entry 8:
SrAg2Ru | PBE-GGA | relaxed

It has space group I-42d (No. 122), with a = 4.6837 Å, b = 4.6837 Å, c = 18.9769 Å, α = 90.00°, β = 90.00° and γ = 90.00°. The distinct sites, in fractional coordinates, are Sr at (0.0000, 0.0000, 0.0000), Ag at (0.1389, 0.2500, 0.6250) and Ru at (0.0000, 0.0000, 0.5000).

The polymorph energy (0 for the lowest one) is 228 meV/atom. The calculation puts the formation energy from the elements at 0.628 eV/atom. The spin magnetization is 5.00 μB/cell.



Entry 9:
Sr2AgRu | PBE-GGA | relaxed

It has space group I-4m2 (No. 119), with a = 4.5516 Å, b = 4.5516 Å, c = 9.9590 Å, α = 90.00°, β = 90.00° and γ = 90.00°. The distinct sites, in fractional coordinates, are Sr at (0.0000, 0.0000, 0.0000), Sr at (0.0000, 0.5000, 0.2500), Ag at (0.0000, 0.5000, 0.7500) and Ru at (0.0000, 0.0000, 0.5000).

The calculation puts the formation energy from the elements at 0.405 eV/atom. The spin magnetization is 1.03 μB/cell.



Entry 10:
SrAgRu | PBE-GGA | relaxed

It has space group F-43m (No. 216), with a = 6.7270 Å, b = 6.7270 Å, c = 6.7270 Å, α = 90.00°, β = 90.00° and γ = 90.00°. The distinct sites, in fractional coordinates, are Sr at (0.0000, 0.0000, 0.0000), Ag at (0.0000, 0.0000, 0.5000) and Ru at (0.2500, 0.2500, 0.7500).

The polymorph energy (0 for the lowest one) is 273 meV/atom. The calculation puts the formation energy from the elements at 0.768 eV/atom. The spin magnetization is 4.39 μB/cell.



Entry 11:
SrAg2Ru | PBE-GGA | relaxed

It has space group C2/m (No. 12), with a = 11.8423 Å, b = 3.1198 Å, c = 5.0235 Å, α = 90.00°, β = 114.78° and γ = 90.00°. The distinct sites, in fractional coordinates, are Sr at (0.0000, 0.0000, 0.0000), Ag at (0.2176, 0.0000, 0.7170) and Ru at (0.0000, 0.5000, 0.5000).

The polymorph energy (0 for the lowest one) is 2 meV/atom. The calculation puts the formation energy from the elements at 0.402 eV/atom. The spin magnetization is 0.00 μB/cell.



Entry 12:
SrAgRu3 | PBE-GGA | relaxed

It has space group Pm-3m (No. 221), with a = 4.9545 Å, b = 4.9545 Å, c = 4.9545 Å, α = 90.00°, β = 90.00° and γ = 90.00°. The distinct sites, in fractional coordinates, are Sr at (0.0000, 0.0000, 0.0000), Ag at (0.5000, 0.5000, 0.5000) and Ru at (0.0000, 0.5000, 0.5000).

The polymorph energy (0 for the lowest one) is 0 meV/atom. The calculation puts the formation energy from the elements at 1.674 eV/atom. The spin magnetization is 5.84 μB/cell.



Entry 13:
SrAg2Ru | PBE-GGA | relaxed

It has space group P4mm (No. 99), with a = 3.4801 Å, b = 3.4801 Å, c = 7.1791 Å, α = 90.00°, β = 90.00° and γ = 90.00°. The distinct sites, in fractional coordinates, are Sr at (0.0000, 0.0000, 0.0000), Ag at (0.0000, 0.0000, 0.5267), Ag at (0.5000, 0.5000, 0.3197) and Ru at (0.5000, 0.5000, 0.7170).

The polymorph energy (0 for the lowest one) is 33 meV/atom. The calculation puts the formation energy from the elements at 0.433 eV/atom. The spin magnetization is 1.26 μB/cell.



Entry 14:
Sr2AgRu | PBE-GGA | relaxed

It has space group P4mm (No. 99), with a = 3.7138 Å, b = 3.7138 Å, c = 8.6205 Å, α = 90.00°, β = 90.00° and γ = 90.00°. The distinct sites, in fractional coordinates, are Sr at (0.0000, 0.0000, 0.0000), Sr at (0.5000, 0.5000, 0.4277), Ag at (0.0000, 0.0000, 0.6550) and Ru at (0.5000, 0.5000, 0.7673).

The calculation puts the formation energy from the elements at 0.357 eV/atom. The spin magnetization is 0.00 μB/cell.



Entry 15:
SrAg2Ru | PBE-GGA | relaxed

It has space group P4/mmm (No. 123), with a = 4.3956 Å, b = 4.3956 Å, c = 4.2776 Å, α = 90.00°, β = 90.00° and γ = 90.00°. The distinct sites, in fractional coordinates, are Sr at (0.0000, 0.0000, 0.0000), Ag at (0.0000, 0.5000, 0.5000) and Ru at (0.5000, 0.5000, 0.0000).

The polymorph energy (0 for the lowest one) is 0 meV/atom. The calculation puts the formation energy from the elements at 0.400 eV/atom. The spin magnetization is 0.74 μB/cell.



Entry 16:
Sr2AgRu | PBE-GGA | relaxed

It has space group P2/m (No. 10), with a = 3.6239 Å, b = 3.6500 Å, c = 8.0882 Å, α = 90.00°, β = 90.07° and γ = 90.00°. The distinct sites, in fractional coordinates, are Sr at (0.0005, 0.0000, 0.2256), Ag at (0.5000, 0.5000, 0.5000) and Ru at (0.5000, 0.5000, 0.0000).

The calculation puts the formation energy from the elements at 0.228 eV/atom. The spin magnetization is 0.48 μB/cell.



Entry 17:
Sr2AgRu | PBE-GGA | relaxed

It has space group Cm (No. 8), with a = 12.2760 Å, b = 3.7240 Å, c = 5.1336 Å, α = 90.00°, β = 114.04° and γ = 90.00°. The distinct sites, in fractional coordinates, are Sr at (0.0000, 0.0000, 0.0000), Sr at (0.2092, 0.0000, 0.7037), Ag at (0.2844, 0.5000, 0.2790) and Ru at (0.4652, 0.0000, 0.4676).

The calculation puts the formation energy from the elements at 0.291 eV/atom. The spin magnetization is 0.43 μB/cell.



Entry 18:
SrAg2Ru | PBE-GGA | relaxed

It has space group R-3m (No. 166, hexagonal axes), with a = 3.0625 Å, b = 3.0625 Å, c = 30.0251 Å, α = 90.00°, β = 90.00° and γ = 120.00°. The distinct sites, in fractional coordinates, are Sr at (0.0000, 0.0000, 0.0000), Ag at (0.0000, 0.0000, 0.2411) and Ru at (0.0000, 0.0000, 0.5000).

The polymorph energy (0 for the lowest one) is 385 meV/atom. The calculation puts the formation energy from the elements at 0.785 eV/atom. The spin magnetization is 3.25 μB/cell.



Entry 19:
SrAg2Ru | PBE-GGA | relaxed

It has space group P2/m (No. 10), with a = 3.0886 Å, b = 4.8270 Å, c = 5.8545 Å, α = 90.00°, β = 102.94° and γ = 90.00°. The distinct sites, in fractional coordinates, are Sr at (0.0000, 0.0000, 0.0000), Ag at (0.3194, 0.5000, 0.7108) and Ru at (0.5000, 0.0000, 0.5000).

The polymorph energy (0 for the lowest one) is 54 meV/atom. The calculation puts the formation energy from the elements at 0.454 eV/atom. The spin magnetization is 1.31 μB/cell.



Entry 20:
Sr4AgRu | PBE-GGA | relaxed

It has space group F-43m (No. 216), with a = 9.4025 Å, b = 9.4025 Å, c = 9.4025 Å, α = 90.00°, β = 90.00° and γ = 90.00°. The distinct sites, in fractional coordinates, are Sr at (0.1241, 0.1241, 0.3759), Ag at (0.0000, 0.0000, 0.0000) and Ru at (0.2500, 0.2500, 0.7500).

The calculation puts the formation energy from the elements at 1.045 eV/atom. The spin magnetization is 0.68 μB/cell.



Density of states at the Fermi level list, top to bottom, in states/eV per atom: 0.978 1.033 0.809 0.892 1.915 1.120 1.245 1.376 0.958 1.979 0.898 1.692 1.077 1.162 0.989 1.214 1.064 1.072 0.993 1.248